(1)
A geometry-optimized Zn2Hg2Te structure, computed with PBE.

CIF file:
```
data_Zn2Hg2Te
_chemical_formula_sum 'Zn4 Hg4 Te2'
_symmetry_space_group_name_H-M 'P 4/m b m'
_symmetry_Int_Tables_number 127
_symmetry_space_group_name_Hall '-P 4 2ab'
_cell_length_a 8.8555
_cell_length_b 8.8555
_cell_length_c 2.9328
_cell_angle_alpha 90.00
_cell_angle_beta 90.00
_cell_angle_gamma 90.00
loop_
_atom_site_label
_atom_site_fract_x
_atom_site_fract_y
_atom_site_fract_z
_atom_site_occupancy
Zn1 0.1070 0.3930 0.0000 1
Hg1 0.1918 0.6918 0.5000 1
Te1 0.0000 0.0000 0.5000 1
```

Properties
total magnetization: 0.00 μB/atom
N(E_F): 2.99 states/eV/cell
crystal system: tetragonal
energy relative to the elements, uncorrected: 0.129 eV/atom


(2)
A geometry-optimized In2Bi2S structure, computed with PBE.

CIF file:
```
data_In2Bi2S
_chemical_formula_sum 'In4 Bi4 S2'
_symmetry_space_group_name_H-M 'P 4/m b m'
_symmetry_Int_Tables_number 127
_symmetry_space_group_name_Hall '-P 4 2ab'
_cell_length_a 7.5498
_cell_length_b 7.5498
_cell_length_c 5.1508
_cell_angle_alpha 90.00
_cell_angle_beta 90.00
_cell_angle_gamma 90.00
loop_
_atom_site_label
_atom_site_fract_x
_atom_site_fract_y
_atom_site_fract_z
_atom_site_occupancy
In1 0.1726 0.3274 0.0000 1
Bi1 0.1403 0.6403 0.5000 1
S1 0.0000 0.0000 0.0000 1
```

Properties
total magnetization: 0.00 μB/atom
N(E_F): 5.38 states/eV/cell
crystal system: tetragonal
energy relative to the elements, uncorrected: 0.166 eV/atom


(3)
A geometry-optimized PmTmMg2 structure, computed with PBE.

CIF file:
```
data_PmTmMg2
_chemical_formula_sum 'Pm3 Tm3 Mg6'
_symmetry_space_group_name_H-M 'R -3 m'
_symmetry_Int_Tables_number 166
_symmetry_space_group_name_Hall '-R 3 2"'
_cell_length_a 3.4543
_cell_length_b 3.4543
_cell_length_c 33.1676
_cell_angle_alpha 90.00
_cell_angle_beta 90.00
_cell_angle_gamma 120.00
loop_
_atom_site_label
_atom_site_fract_x
_atom_site_fract_y
_atom_site_fract_z
_atom_site_occupancy
Pm1 0.0000 0.0000 0.0000 1
Tm1 0.0000 0.0000 0.5000 1
Mg1 0.0000 0.0000 0.2477 1
```

Properties
E_form: 0.04 eV per atom
total magnetization: 0.00 μB/atom
N(E_F): 13.91 states/eV/cell
crystal system: trigonal


no.,volume (Å³/cell)
1,230.0
2,293.6
3,342.7